(1)
Here is a relaxed structure of BaNaMg2 from the Alexandria database. Energies are from PBE-GGA.

Properties
Electronic total energy, Ry/atom: -0.099
Calculated volume, Å³/cell: 326.58

The structure in CIF format:
```
data_BaNaMg2
_cell_length_a 5.2882
_cell_length_b 5.2882
_cell_length_c 12.2620
_cell_angle_alpha 77.55
_cell_angle_beta 77.55
_cell_angle_gamma 90.00
_space_group_name_H-M_alt 'P 1'
_space_group_IT_number 1
loop_
_space_group_symop_operation_xyz
'x,y,z'
loop_
_atom_site_label
_atom_site_fract_x
_atom_site_fract_y
_atom_site_fract_z
_atom_site_occupancy
Na1 0.5000 0.5000 0.0000 1
Na2 0.2500 0.7500 0.5000 1
Mg1 0.5091 0.1250 0.2500 1
Mg2 0.2409 0.6250 0.2500 1
Mg3 0.3750 0.4909 0.7500 1
Mg4 0.8750 0.7591 0.7500 1
Ba1 0.0000 0.0000 0.0000 1
Ba2 0.7500 0.2500 0.5000 1
```


(2)
Here is a relaxed structure of BaNaMg from the Alexandria database. Energies are from PBE-GGA.

Properties
Electronic total energy, Ry/atom: -0.116
Calculated volume, Å³/cell: 119.43

The structure in CIF format:
```
data_BaNaMg
_cell_length_a 4.3356
_cell_length_b 4.3356
_cell_length_c 7.0546
_cell_angle_alpha 107.90
_cell_angle_beta 107.90
_cell_angle_gamma 90.00
_space_group_name_H-M_alt 'P 1'
_space_group_IT_number 1
loop_
_space_group_symop_operation_xyz
'x,y,z'
loop_
_atom_site_label
_atom_site_fract_x
_atom_site_fract_y
_atom_site_fract_z
_atom_site_occupancy
Na1 0.9745 0.9745 0.9491 1
Mg1 0.3495 0.3495 0.6989 1
Ba1 0.6760 0.6760 0.3520 1
```